(1)
Here is a geometry-optimized LaCo4Pb structure from Alexandria via LeMat-Bulk. Energies are from GGA-PBE.

Calculated values
Mass density ... 9.93 g/cm3
Space group ... No. 216
ΔE_f ... 0.115 eV per atom

a = 5.1624 Å, b = 5.1624 Å, c = 5.1624 Å
α = 60.00°, β = 60.00°, γ = 60.00°
Last column: nearest neighbours and their distance in Å.
Fractional positions:
Co1 0.3743 0.3743 0.3743  6 Co 2.57-2.60
Co2 0.3743 0.3743 0.8772  6 Co 2.57-2.60
Co3 0.8772 0.3743 0.3743  6 Co 2.57-2.60
Co4 0.3743 0.8772 0.3743  6 Co 2.57-2.60
Pb1 0.0000 0.0000 0.0000  12 Co 3.03, 4 La 3.16
La1 0.7500 0.7500 0.7500  12 Co 3.03, 4 Pb 3.16

---

(2)
Here is a geometry-optimized La12Co5Pb structure from Alexandria via LeMat-Bulk. Energies are from GGA-PBE.

Calculated values
Mass density ... 7.01 g/cm3
Space group ... No. 71
ΔE_f ... -0.197 eV per atom

a = 8.7419 Å, b = 8.7419 Å, c = 8.7419 Å
α = 107.21°, β = 111.68°, γ = 109.56°
Last column: nearest neighbours and their distance in Å.
Fractional positions:
Co1 0.5000 0.1313 0.6313  1 Co 2.72, 6 La 2.73-2.90
Co2 0.0000 0.0000 0.0000  4 La 2.73
Co3 0.5000 0.8687 0.3687  1 Co 2.72, 6 La 2.73-2.90
Co4 0.3583 0.3583 0.0000  6 La 2.65-2.92, 1 Co 2.86
Co5 0.6417 0.6417 0.0000  6 La 2.65-2.92, 1 Co 2.86
La1 0.3156 0.3281 0.6437  3 Co 2.73-2.92
La2 0.4887 0.1767 0.3120  2 Co 2.90
La3 0.8155 0.0076 0.1921  2 Co 2.65-2.73
La4 0.5113 0.8233 0.6880  2 Co 2.90
La5 0.8155 0.6235 0.8079  2 Co 2.65-2.73
La6 0.6844 0.6719 0.3563  3 Co 2.73-2.92
La7 0.1845 0.9924 0.8079  2 Co 2.65-2.73
La8 0.1845 0.3765 0.1921  2 Co 2.65-2.73
La9 0.3156 0.6719 0.9876  3 Co 2.73-2.92
La10 0.1354 0.8233 0.3120  2 Co 2.90
La11 0.6844 0.3281 0.0124  3 Co 2.73-2.92
La12 0.8646 0.1767 0.6880  2 Co 2.90
Pb1 0.0000 0.5000 0.5000  12 La 3.58-3.75

---

(3)
Here is a geometry-optimized La2CoPb structure from Alexandria via LeMat-Bulk. Energies are from GGA-PBE.

Calculated values
Mass density ... 9.16 g/cm3
Space group ... No. 216
ΔE_f ... 0.091 eV per atom

a = 5.1848 Å, b = 5.1848 Å, c = 5.1848 Å
α = 60.00°, β = 60.00°, γ = 60.00°
Last column: nearest neighbours and their distance in Å.
Fractional positions:
La1 0.0000 0.0000 0.0000  4 La 3.18, 4 Pb 3.18
La2 0.2500 0.2500 0.2500  4 La 3.18, 4 Co 3.18
Pb1 0.7500 0.7500 0.7500  4 La 3.18, 4 Co 3.18
Co1 0.5000 0.5000 0.5000  4 Pb 3.18, 4 La 3.18

---

Number 1: density of states at the Fermi level 11.58 states/eV per cell. Number 2: density of states at the Fermi level 16.10 states/eV per cell. Number 3: density of states at the Fermi level 4.80 states/eV per cell.